UCdSe, optimized geometry, DFT GGA-PBE; SG = No. 12
1.0
-2.571 -0.985 -1.366
-2.538 -0.762 1.557
-17.718 11.703 -0.696
Cd U Se
2 2 2
Direct
0.013 0.013 0.258
0.987 0.987 0.742
0.931 0.931 0.427
0.069 0.069 0.573
0.142 0.142 0.893
0.858 0.858 0.107

=====

VCdSe2, optimized geometry, DFT GGA-PBE; SG = No. 122
1.0
6.028 0.000 0.000
0.000 6.028 0.000
3.014 3.014 5.940
Cd Se V
2 4 2
Direct
0.000 0.000 0.000
0.750 0.250 0.500
0.597 0.125 0.250
0.153 0.625 0.250
0.375 0.403 0.750
0.875 0.847 0.750
0.500 0.500 0.000
0.250 0.750 0.500

=====

V3CdSe, optimized geometry, DFT GGA-PBE; offset from the most stable computed form = 1067 meV per atom; SG = No. 221
1.0
4.959 0.000 0.000
0.000 4.959 0.000
0.000 0.000 4.959
Cd Se V
1 1 3
Direct
0.000 0.000 0.000
0.500 0.500 0.500
0.000 0.500 0.000
0.000 0.000 0.500
0.500 0.000 0.000

=====

VCdSe2, optimized geometry, DFT GGA-PBE; SG = No. 166
1.0
2.336 0.000 7.895
-1.168 2.023 7.895
-1.168 -2.023 7.895
Cd Se V
1 2 1
Direct
0.500 0.500 0.500
0.900 0.900 0.900
0.100 0.100 0.100
0.000 0.000 0.000

=====

VCd2Se, optimized geometry, DFT GGA-PBE; SG = No. 122
1.0
8.208 0.000 0.000
0.000 8.208 0.000
4.104 4.104 2.671
Cd Se V
4 2 2
Direct
0.650 0.125 0.250
0.100 0.625 0.250
0.375 0.350 0.750
0.875 0.900 0.750
0.000 0.000 0.000
0.750 0.250 0.500
0.500 0.500 0.000
0.250 0.750 0.500

=====

V3CdSe, optimized geometry, DFT GGA-PBE; offset from the most stable computed form = 0 meV per atom; SG = No. 221
1.0
-2.067 2.087 -3.492
-3.299 -3.153 0.068
-2.382 2.555 2.937
Cd Se V
1 1 3
Direct
0.500 0.500 0.500
0.000 0.000 0.000
0.000 0.500 0.000
0.000 0.000 0.500
0.500 0.000 0.000

=====

VCdSe2, optimized geometry, DFT GGA-PBE; SG = No. 166
1.0
-4.034 -4.202 7.620
-1.113 -5.712 7.625
-1.448 -2.776 9.066
Cd Se V
1 2 1
Direct
0.000 0.000 0.000
0.890 0.890 0.890
0.110 0.110 0.110
0.500 0.500 0.500

=====

VCd2WSe, optimized geometry, DFT GGA-PBE; SG = No. 123
1.0
5.384 0.000 0.000
0.000 4.442 0.000
0.000 0.000 5.384
V Se W Cd
1 1 1 2
Direct
0.000 0.500 0.000
0.500 0.500 0.500
0.000 0.000 0.000
0.000 0.000 0.500
0.500 0.000 0.000

=====

Y2VCdSe, optimized geometry, DFT GGA-PBE; SG = No. 123
1.0
-5.052 1.675 -0.286
-1.226 -4.150 -2.654
-1.109 -2.572 4.535
Y V Se Cd
2 1 1 1
Direct
0.000 0.000 0.500
0.500 0.000 0.000
0.500 0.500 0.500
0.000 0.000 0.000
0.000 0.500 0.000

=====

CdWSe3, optimized geometry, DFT GGA-PBE; SG = No. 221
1.0
-1.646 0.036 -4.702
4.289 -2.031 -1.517
-1.928 -4.549 0.640
Se W Cd
3 1 1
Direct
0.000 0.500 0.000
0.000 0.000 0.500
0.500 0.000 0.000
0.000 0.000 0.000
0.500 0.500 0.500

=====

Cd3WSe, optimized geometry, DFT GGA-PBE; offset from the most stable computed form = 0 meV per atom; SG = No. 221
1.0
5.405 0.000 0.000
0.000 5.405 0.000
0.000 0.000 5.405
Se W Cd
1 1 3
Direct
0.500 0.500 0.500
0.000 0.000 0.000
0.000 0.500 0.000
0.000 0.000 0.500
0.500 0.000 0.000

=====

CdW3Se, optimized geometry, DFT GGA-PBE; offset from the most stable computed form = 1596 meV per atom; SG = No. 221
1.0
-3.457 -1.733 2.989
2.344 -4.283 0.227
2.539 1.594 3.860
Se W Cd
1 3 1
Direct
0.500 0.500 0.500
0.000 0.500 0.000
0.000 0.000 0.500
0.500 0.000 0.000
0.000 0.000 0.000

=====

Cd4WSe, optimized geometry, DFT GGA-PBE; SG = No. 216
1.0
0.000 3.975 3.975
3.975 0.000 3.975
3.975 3.975 0.000
Cd W Se
4 1 1
Direct
0.877 0.374 0.374
0.374 0.374 0.877
0.374 0.877 0.374
0.374 0.374 0.374
0.000 0.000 0.000
0.750 0.750 0.750

=====

CdW3Se, optimized geometry, DFT GGA-PBE; offset from the most stable computed form = 0 meV per atom; SG = No. 221
1.0
-3.449 -3.032 0.603
0.765 0.039 4.568
-2.996 3.501 0.471
Se W Cd
1 3 1
Direct
0.000 0.000 0.000
0.000 0.500 0.000
0.000 0.000 0.500
0.500 0.000 0.000
0.500 0.500 0.500

=====

Cd3WSe, optimized geometry, DFT GGA-PBE; offset from the most stable computed form = 119 meV per atom; SG = No. 221
1.0
-0.133 4.965 -1.722
-2.222 -1.614 -4.482
-4.762 0.614 2.140
Se W Cd
1 1 3
Direct
0.000 0.000 0.000
0.500 0.500 0.500
0.000 0.500 0.000
0.000 0.000 0.500
0.500 0.000 0.000

=====

Y5CdSe4, optimized geometry, DFT GGA-PBE; SG = No. 87
1.0
-4.208 -3.917 1.159
0.512 -6.063 -3.796
1.631 -4.581 5.272
Y Cd Se
5 1 4
Direct
0.899 0.407 0.796
0.306 0.796 0.593
0.696 0.204 0.407
0.102 0.593 0.204
0.501 0.000 0.000
0.001 0.000 0.000
0.401 0.402 0.799
0.803 0.799 0.598
0.199 0.201 0.402
0.601 0.598 0.201

=====

YCdSe, optimized geometry, DFT GGA-PBE; offset from the most stable computed form = 0 meV per atom; SG = No. 166
1.0
4.823 0.000 0.000
2.412 4.177 0.000
2.412 1.392 7.903
Y Se Cd
2 2 2
Direct
0.585 0.585 0.244
0.415 0.415 0.756
0.287 0.287 0.139
0.713 0.713 0.861
0.835 0.835 0.494
0.165 0.165 0.506

=====

YCdSe, optimized geometry, DFT GGA-PBE; offset from the most stable computed form = 162 meV per atom; SG = No. 107
1.0
-6.331 1.139 -2.394
-4.902 -1.426 -4.587
-2.118 -2.536 1.587
Cd Se Y
1 1 1
Direct
0.020 0.020 0.980
0.288 0.288 0.712
0.692 0.692 0.308

=====

YCdSe, optimized geometry, DFT GGA-PBE; offset from the most stable computed form = 486 meV per atom; SG = No. 216
1.0
4.921 0.000 0.000
2.460 4.262 0.000
2.460 1.421 4.018
Cd Se Y
1 1 1
Direct
0.500 0.500 0.500
0.750 0.750 0.750
0.000 0.000 0.000

=====

YCd2Se2, optimized geometry, DFT GGA-PBE; SG = No. 139
1.0
-3.091 2.234 0.251
-1.979 -2.500 -2.108
-5.016 -4.394 6.457
Y Se Cd
1 2 2
Direct
0.000 0.000 0.000
0.413 0.413 0.173
0.587 0.587 0.827
0.750 0.250 0.500
0.250 0.750 0.500

=====

Results for ΔE_f (raw): 0.217, -0.395, 1.598, 0.099, 0.218, 0.531, -0.505, 1.250, 0.404, 0.187, 1.301, 3.136, 0.819, 1.540, 1.420, -1.466, -1.027, -0.865, -0.541, -0.683 (in eV per atom, following the order of the records).